Record 1
HfRu3W: optimized geometry, PBEsol.

Unit cell a=4.555 b=4.555 c=4.555 alpha=90.00 beta=90.00 gamma=90.00
Sites, in units of the cell vectors:
Hf: 0.000 0.000 0.000
Ru: 0.000 0.000 0.500
Ru: 0.000 0.500 0.000
Ru: 0.500 0.000 0.000
W: 0.500 0.500 0.500

ΔE_f in eV per atom: 2.07
Size of the total moment in μB/cell: 0.57
Fermi-level density of states in states/eV/cell: 7.08

=====

Record 2
LaCrMo4: optimized geometry, PBEsol.

Unit cell a=5.348 b=5.348 c=5.348 alpha=60.00 beta=60.00 gamma=60.00
Sites, in units of the cell vectors:
La: 0.000 0.000 0.000
Cr: 0.750 0.750 0.750
Mo: 0.375 0.375 0.375
Mo: 0.375 0.375 0.875
Mo: 0.375 0.875 0.375
Mo: 0.875 0.375 0.375

ΔE_f in eV per atom: 0.61
Size of the total moment in μB/cell: 2.24
Fermi-level density of states in states/eV/cell: 5.95

=====

Record 3
La4Y5: optimized geometry, PBEsol.

Unit cell a=9.792 b=9.792 c=7.029 alpha=90.00 beta=90.00 gamma=120.00
Sites, in units of the cell vectors:
La: 0.000 0.000 0.000
La: 0.000 0.000 0.500
La: 0.000 0.349 0.250
La: 0.000 0.651 0.750
La: 0.349 0.000 0.250
La: 0.349 0.349 0.750
La: 0.651 0.000 0.750
La: 0.651 0.651 0.250
Y: 0.000 0.324 0.750
Y: 0.000 0.676 0.250
Y: 0.324 0.000 0.750
Y: 0.324 0.324 0.250
Y: 0.333 0.667 0.000
Y: 0.333 0.667 0.500
Y: 0.667 0.333 0.000
Y: 0.667 0.333 0.500
Y: 0.676 0.000 0.250
Y: 0.676 0.676 0.750

ΔE_f in eV per atom: 0.07
Size of the total moment in μB/cell: 0.00
E above lowest polymorph in eV/f.u.: 0.38
Fermi-level density of states in states/eV/cell: 28.83

=====

Record 4
NiHgGeRh2: optimized geometry, PBEsol.

Unit cell a=4.458 b=4.458 c=4.675 alpha=90.00 beta=90.00 gamma=90.00
Sites, in units of the cell vectors:
Ni: 0.000 0.000 0.000
Hg: 0.000 0.000 0.500
Ge: 0.500 0.500 0.500
Rh: 0.000 0.500 0.000
Rh: 0.500 0.000 0.000

ΔE_f in eV per atom: 0.97
Size of the total moment in μB/cell: 1.43
Fermi-level density of states in states/eV/cell: 5.02

=====

Record 5
Ba2Au: optimized geometry, PBEsol.

Unit cell a=5.535 b=5.535 c=5.535 alpha=60.00 beta=60.00 gamma=60.00
Sites, in units of the cell vectors:
Ba: 0.250 0.250 0.250
Ba: 0.750 0.750 0.750
Au: 0.000 0.000 0.000

ΔE_f in eV per atom: -0.42
Size of the total moment in μB/cell: 0.00
Fermi-level density of states in states/eV/cell: 2.92

=====

Record 6
HfV2H4: optimized geometry, PBEsol.

Unit cell a=5.402 b=5.402 c=5.402 alpha=120.64 beta=120.64 gamma=88.89
Sites, in units of the cell vectors:
Hf: 0.375 0.125 0.250
Hf: 0.625 0.875 0.750
V: 0.000 0.000 0.500
V: 0.000 0.500 0.000
V: 0.000 0.500 0.500
V: 0.500 0.500 0.000
H: 0.004 0.119 0.250
H: 0.254 0.504 0.385
H: 0.369 0.754 0.250
H: 0.381 0.131 0.885
H: 0.619 0.869 0.115
H: 0.631 0.246 0.750
H: 0.746 0.496 0.615
H: 0.996 0.881 0.750

DFT total energy in Ry per atom: -0.479
Size of the total moment in μB/cell: 0.00
Fermi-level density of states in states/eV/cell: 6.27

=====

Record 7
Li2TlSb: optimized geometry, PBEsol.

Unit cell a=4.861 b=4.861 c=3.464 alpha=90.00 beta=90.00 gamma=90.50
Sites, in units of the cell vectors:
Li: 0.000 0.500 0.000
Li: 0.500 0.000 0.000
Tl: 0.000 0.000 0.500
Sb: 0.500 0.500 0.500

Size of the total moment in μB/cell: 0.00
Formation energy (no corrections) in meV/atom: -374
Fermi-level density of states in states/eV/cell: 1.41

=====

Record 8
TcCl4: optimized geometry, PBEsol.

Unit cell a=5.162 b=5.162 c=5.162 alpha=109.47 beta=109.47 gamma=109.47
Sites, in units of the cell vectors:
Tc: 0.000 0.000 0.000
Cl: 0.000 0.000 0.500
Cl: 0.000 0.500 0.000
Cl: 0.500 0.000 0.000
Cl: 0.500 0.500 0.500

Size of the total moment in μB/cell: 3.43
E above lowest polymorph in eV/f.u.: 3.87
Formation energy (no corrections) in meV/atom: 128
Fermi-level density of states in states/eV/cell: 4.11

=====

Record 9
CaTlBr2: optimized geometry, PBEsol.

Unit cell a=3.967 b=3.967 c=10.210 alpha=98.15 beta=98.15 gamma=59.76
Sites, in units of the cell vectors:
Ca: 0.000 0.000 0.000
Tl: 0.500 0.500 0.500
Br: 0.373 0.373 0.167
Br: 0.627 0.627 0.833

Size of the total moment in μB/cell: 0.00
E above lowest polymorph in eV/f.u.: 0.00
Formation energy (no corrections) in meV/atom: -1297
Fermi-level density of states in states/eV/cell: 1.36

=====

Record 10
Be2AgBr: optimized geometry, PBEsol.

Unit cell a=4.336 b=4.336 c=6.563 alpha=121.83 beta=121.83 gamma=42.03
Sites, in units of the cell vectors:
Be: 0.149 0.149 0.359
Be: 0.851 0.851 0.641
Ag: 0.500 0.500 0.500
Br: 0.500 0.500 0.000

Size of the total moment in μB/cell: 0.00
E above lowest polymorph in eV/f.u.: 0.00
Formation energy (no corrections) in meV/atom: 251
Fermi-level density of states in states/eV/cell: 1.07

=====

Record 11
InTeCl: optimized geometry, PBEsol.

Unit cell a=7.116 b=7.383 c=8.385 alpha=90.00 beta=118.81 gamma=90.00
Sites, in units of the cell vectors:
In: 0.022 0.210 0.388
In: 0.022 0.290 0.888
In: 0.978 0.710 0.112
In: 0.978 0.790 0.612
Te: 0.234 0.627 0.947
Te: 0.234 0.873 0.447
Te: 0.766 0.127 0.553
Te: 0.766 0.373 0.053
Cl: 0.306 0.088 0.083
Cl: 0.306 0.412 0.583
Cl: 0.694 0.588 0.417
Cl: 0.694 0.912 0.917

Size of the total moment in μB/cell: 0.00
Formation energy (no corrections) in meV/atom: -632
Fermi-level density of states in states/eV/cell: 0.00

=====

Record 12
CsRhC3: optimized geometry, PBEsol.

Unit cell a=4.306 b=4.306 c=4.306 alpha=90.00 beta=90.00 gamma=90.00
Sites, in units of the cell vectors:
Cs: 0.000 0.000 0.000
Rh: 0.500 0.500 0.500
C: 0.000 0.000 0.500
C: 0.000 0.500 0.000
C: 0.500 0.000 0.000

ΔE_f in eV per atom: 4.51
Size of the total moment in μB/cell: 0.00
Fermi-level density of states in states/eV/cell: 3.60

=====

Record 13
Te2MoBr: optimized geometry, PBEsol.

Unit cell a=5.412 b=5.412 c=3.436 alpha=90.00 beta=90.00 gamma=115.71
Sites, in units of the cell vectors:
Te: 0.000 0.500 0.000
Te: 0.500 0.000 0.000
Mo: 0.000 0.000 0.500
Br: 0.500 0.500 0.500

Size of the total moment in μB/cell: 1.93
E above lowest polymorph in eV/f.u.: 2.95
Formation energy (no corrections) in meV/atom: 720
Fermi-level density of states in states/eV/cell: 3.33

=====

Record 14
Zn2Mo: optimized geometry, PBEsol.

Unit cell a=7.197 b=7.197 c=4.489 alpha=90.00 beta=90.00 gamma=158.57
Sites, in units of the cell vectors:
Zn: 0.118 0.882 0.750
Zn: 0.219 0.781 0.250
Zn: 0.781 0.219 0.750
Zn: 0.882 0.118 0.250
Mo: 0.450 0.550 0.750
Mo: 0.550 0.450 0.250

ΔE_f in eV per atom: 0.05
Size of the total moment in μB/cell: 0.00
Fermi-level density of states in states/eV/cell: 2.52

=====

Record 15
TmCd: optimized geometry, PBEsol.

Unit cell a=3.630 b=3.630 c=3.630 alpha=90.00 beta=90.00 gamma=90.00
Sites, in units of the cell vectors:
Tm: 0.000 0.000 0.000
Cd: 0.500 0.500 0.500

ΔE_f in eV per atom: -0.34
Size of the total moment in μB/cell: 0.00
Fermi-level density of states in states/eV/cell: 1.72

=====

Record 16
HgOsS2: optimized geometry, PBEsol.

Unit cell a=10.716 b=10.716 c=10.716 alpha=15.02 beta=15.02 gamma=15.02
Sites, in units of the cell vectors:
Hg: 0.000 0.000 0.000
Os: 0.500 0.500 0.500
S: 0.430 0.430 0.430
S: 0.570 0.570 0.570

Size of the total moment in μB/cell: 0.00
Formation energy (no corrections) in meV/atom: 350
Fermi-level density of states in states/eV/cell: 1.65

=====

Record 17
LaZr2Cu2: optimized geometry, PBEsol.

Unit cell a=6.224 b=6.224 c=6.224 alpha=138.22 beta=138.22 gamma=60.56
Sites, in units of the cell vectors:
La: 0.000 0.000 0.000
Zr: 0.250 0.750 0.500
Zr: 0.750 0.250 0.500
Cu: 0.392 0.392 0.000
Cu: 0.608 0.608 0.000

ΔE_f in eV per atom: 0.04
Size of the total moment in μB/cell: 0.00
Fermi-level density of states in states/eV/cell: 5.35

=====

Record 18
La2YAl: optimized geometry, PBEsol.

Unit cell a=6.001 b=6.001 c=6.001 alpha=133.54 beta=133.54 gamma=67.81
Sites, in units of the cell vectors:
La: 0.250 0.750 0.500
La: 0.750 0.250 0.500
Y: 0.000 0.000 0.000
Al: 0.500 0.500 0.000

ΔE_f in eV per atom: -0.18
Size of the total moment in μB/cell: 0.00
Fermi-level density of states in states/eV/cell: 4.05

=====

Record 19
Zr2SiSn: optimized geometry, PBEsol.

Unit cell a=4.812 b=4.812 c=4.812 alpha=60.00 beta=60.00 gamma=60.00
Sites, in units of the cell vectors:
Zr: 0.250 0.250 0.250
Zr: 0.750 0.750 0.750
Si: 0.000 0.000 0.000
Sn: 0.500 0.500 0.500

Size of the total moment in μB/cell: 0.00
Formation energy (no corrections) in meV/atom: -315
Fermi-level density of states in states/eV/cell: 5.83

=====

Record 20
MgTl2Cd: optimized geometry, PBEsol.

Unit cell a=3.361 b=5.438 c=5.419 alpha=90.00 beta=90.17 gamma=90.00
Sites, in units of the cell vectors:
Mg: 0.000 0.000 0.000
Tl: 0.005 0.500 0.666
Tl: 0.502 0.000 0.493
Cd: 0.504 0.500 0.158

ΔE_f in eV per atom: 0.00
Size of the total moment in μB/cell: 0.00
E above lowest polymorph in eV/f.u.: 0.09
Fermi-level density of states in states/eV/cell: 1.66